Material: NdMg5Au3
Method: DFT, GGA-PBE
State: relaxed

Output
Total magnetization in Bohr magnetons per cell: 0.00
Energy of formation in meV/atom: -477
Total energy in eV/atom: -2.985
DOS(E_F) in states/eV/f.u.: 3.55

a = 3.9532 Å, b = 14.7639 Å, c = 13.7303 Å
α = 90.00°, β = 90.00°, γ = 90.00°
With the nearest neighbours (Å) after each atom.
Space group Cmcm (No. 63)
Asymmetric unit:
Nd: 0.0000 0.1687 0.2500 x4  6 Au 3.28-3.35
Mg: 0.0000 0.0000 0.0000 x4  4 Au 2.79, 6 Mg 2.94-3.04
Mg: 0.0000 0.1980 0.5598 x8  4 Au 2.71-2.88, 3 Mg 2.99-3.04
Mg: 0.0000 0.4444 0.1464 x8  4 Au 2.79-3.07, 5 Mg 2.84-3.12
Au: 0.0000 0.1484 0.7500 x4  6 Mg 2.71-2.79
Au: 0.0000 0.3817 0.5668 x8  6 Mg 2.72-2.88

=====

Material: BIrW
Method: DFT, GGA-PBE
State: relaxed

Output
Total magnetization in Bohr magnetons per cell: 0.00
Energy of formation in meV/atom: -143
Total energy in eV/atom: -9.640
DOS(E_F) in states/eV/f.u.: 1.17

a = 8.4858 Å, b = 3.3121 Å, c = 5.3455 Å
α = 90.00°, β = 90.00°, γ = 90.00°
With the nearest neighbours (Å) after each atom.
Space group Pnma (No. 62)
Asymmetric unit:
B: 0.0758 0.2500 0.0827 x4  3 Ir 2.11-2.14, 2 B 2.28, 3 W 2.35-2.36
Ir: 0.0013 0.7500 0.2977 x4  3 B 2.11-2.14
W: 0.2397 0.7500 0.9124 x4  3 B 2.35-2.36

=====

Material: Sc2FeAs
Method: DFT, GGA-PBE
State: relaxed

Output
Total magnetization in Bohr magnetons per cell: 1.24
Energy of formation in meV/atom: -562
Total energy in eV/atom: -7.006
DOS(E_F) in states/eV/f.u.: 2.43

a = 3.4021 Å, b = 3.4021 Å, c = 6.0166 Å
α = 90.00°, β = 90.00°, γ = 90.00°
With the nearest neighbours (Å) after each atom.
Space group P4/mmm (No. 123)
Asymmetric unit:
Sc: 0.0000 0.0000 0.2476 x2  4 Fe 2.83, 4 As 2.84, 2 Sc 2.98-3.04
Fe: 0.5000 0.5000 0.0000 x1  8 Sc 2.83, 2 As 3.01
As: 0.5000 0.5000 0.5000 x1  8 Sc 2.84, 2 Fe 3.01

=====

Material: HoTaTiCo2
Method: DFT, GGA-PBE
State: relaxed

Output
Total magnetization in Bohr magnetons per cell: 0.00
Energy of formation in meV/atom: -255
Total energy in eV/atom: -7.962
DOS(E_F) in states/eV/f.u.: 3.50

a = 4.2147 Å, b = 4.2147 Å, c = 9.7622 Å
α = 90.00°, β = 90.00°, γ = 90.00°
With the nearest neighbours (Å) after each atom.
Space group I-4m2 (No. 119)
Asymmetric unit:
Ho: 0.0000 0.0000 0.0000 x2  8 Co 3.20, 4 Ta 3.22, 4 Ti 3.22
Ta: 0.0000 0.5000 0.7500 x2  4 Co 2.47
Ti: 0.0000 0.5000 0.2500 x2  4 Co 2.47
Co: 0.0000 0.0000 0.3817 x4  1 Co 2.31, 2 Ta 2.47, 2 Ti 2.47

=====

Material: RbIn2GaOs
Method: DFT, GGA-PBE
State: relaxed

Output
Total magnetization in Bohr magnetons per cell: 0.00
Energy of formation in meV/atom: -63
Total energy in eV/atom: -4.203
DOS(E_F) in states/eV/f.u.: 0.70

a = 5.2666 Å, b = 5.2666 Å, c = 4.9657 Å
α = 90.00°, β = 90.00°, γ = 90.00°
With the nearest neighbours (Å) after each atom.
Space group P4/mmm (No. 123)
Asymmetric unit:
Rb: 0.0000 0.0000 0.0000 x1  8 In 3.62, 4 Ga 3.72
In: 0.0000 0.5000 0.5000 x2  2 Os 2.63
Ga: 0.5000 0.5000 0.0000 x1  2 Os 2.48
Os: 0.5000 0.5000 0.5000 x1  2 Ga 2.48, 4 In 2.63

=====

Material: Nd4SiSb
Method: DFT, GGA-PBE
State: relaxed

Output
Formation energy without anion corrections in eV/atom: -0.489
Total magnetization in Bohr magnetons per cell: 0.00
Total energy in eV/atom: -5.258
DOS(E_F) in states/eV/f.u.: 5.10

a = 7.5451 Å, b = 5.4694 Å, c = 8.7407 Å
α = 90.00°, β = 90.28°, γ = 90.00°
With the nearest neighbours (Å) after each atom.
Space group C2/m (No. 12)
Asymmetric unit:
Nd: 0.1312 0.0000 0.3400 x4  3 Sb 3.11-3.23, 1 Si 3.13, 3 Nd 3.29-3.44
Nd: 0.1457 0.5000 0.1304 x4  3 Si 2.91-3.16, 1 Nd 3.16
Si: 0.0000 0.0000 0.0000 x2  8 Nd 2.91-3.16
Sb: 0.0000 0.5000 0.5000 x2  8 Nd 3.11-3.42

=====

- What is the DOS(E_F) in the third record?
  2.43 states/eV/f.u.